Entry 1:
## HoPd5Au (GGA-PBE)

Data for a relaxed structure of HoPd5Au.

E above lowest polymorph = 0.000 eV per atom

The structure in POSCAR format:
```
HoPd5Au
1.0
4.109 0.000 0.000
0.000 4.109 0.000
0.000 0.000 7.680
Ho Pd Au
1 5 1
Cartesian
0.000 0.000 0.000
2.054 2.054 0.000
2.054 0.000 2.027
0.000 2.054 2.027
2.054 0.000 5.654
0.000 2.054 5.654
0.000 0.000 3.840
```


Entry 2:
## Ho4PdAu3 (GGA-PBE)

Data for a relaxed structure of Ho4PdAu3.

The structure in POSCAR format:
```
Ho4PdAu3
1.0
-1.853 -2.821 -1.564
-1.173 -1.572 4.225
-8.937 6.006 -0.246
Ho Pd Au
4 1 3
Cartesian
-4.686 -0.064 1.243
-8.329 4.418 1.899
-1.224 0.822 -0.034
-6.643 2.432 -0.939
-2.293 -1.672 1.309
-5.853 2.754 1.967
-3.671 2.468 -0.101
-9.099 4.082 -1.007
```


Entry 3:
## HoPd4Au2 (GGA-PBE)

Data for a relaxed structure of HoPd4Au2.

E above lowest polymorph = 0.071 eV per atom

The structure in POSCAR format:
```
HoPd4Au2
1.0
5.671 1.556 0.000
-1.422 5.706 0.000
0.000 0.000 7.565
Ho Pd Au
2 8 4
Cartesian
2.125 3.631 1.891
2.125 3.631 5.674
3.192 5.456 0.000
1.057 1.807 0.000
1.057 1.807 3.783
3.192 5.456 3.783
2.836 0.778 1.891
-0.711 2.853 1.891
2.836 0.778 5.674
-0.711 2.853 5.674
0.139 4.793 0.000
4.110 2.469 0.000
0.139 4.793 3.783
4.110 2.470 3.783
```


Entry 4:
## Ho2Pd3Au6 (GGA-PBE)

Data for a relaxed structure of Ho2Pd3Au6.

The structure in POSCAR format:
```
Ho2Pd3Au6
1.0
3.941 0.000 0.000
0.000 3.941 0.000
-1.971 -1.971 14.362
Ho Pd Au
2 3 6
Cartesian
0.000 0.000 9.608
1.971 1.971 4.753
0.000 0.000 0.000
1.971 1.971 10.434
0.000 0.000 3.928
0.000 1.971 1.951
1.971 0.000 1.951
1.971 0.000 12.410
0.000 1.971 12.410
1.971 1.971 7.750
0.000 0.000 6.612
```


Entry 5:
## HoPd6Au2 (GGA-PBE)

Data for a relaxed structure of HoPd6Au2.

The structure in POSCAR format:
```
HoPd6Au2
1.0
4.938 0.063 0.767
-2.453 4.255 -0.915
1.289 -0.502 7.451
Ho Pd Au
1 6 2
Cartesian
0.645 -0.251 3.725
3.558 2.929 6.167
2.709 2.312 1.344
1.065 1.504 5.959
3.118 1.212 3.931
0.656 2.604 3.373
0.217 0.887 1.137
3.478 0.103 6.535
0.296 3.713 0.769
```


Entry 6:
## HoPd6Au2 (GGA-PBE)

Data for a relaxed structure of HoPd6Au2.

The structure in POSCAR format:
```
HoPd6Au2
1.0
4.166 0.000 0.000
2.083 4.492 -0.074
2.083 2.070 8.095
Ho Pd Au
1 6 2
Cartesian
2.083 3.281 4.010
6.249 5.232 7.605
2.083 1.331 0.415
2.083 4.027 1.262
4.166 5.014 3.026
6.249 2.536 6.759
4.166 1.549 4.994
4.166 4.328 5.874
4.166 2.234 2.146
```


Entry 7:
## PrHoPdAu (GGA-PBE)

Data for a relaxed structure of PrHoPdAu.

E above lowest polymorph = 0.000 eV per atom

The structure in POSCAR format:
```
PrHoPdAu
1.0
3.837 0.000 0.000
0.000 4.765 0.000
-1.919 0.000 5.386
Pr Ho Pd Au
1 1 1 1
Cartesian
0.000 0.000 1.510
1.919 2.383 3.926
0.000 0.000 4.450
1.919 2.383 0.887
```


Entry 8:
## PrHoPdAu (GGA-PBE)

Data for a relaxed structure of PrHoPdAu.

E above lowest polymorph = 0.049 eV per atom

The structure in POSCAR format:
```
PrHoPdAu
1.0
-1.973 3.184 -3.500
-4.572 2.175 0.802
-0.312 5.020 0.989
Pr Au Ho Pd
1 1 1 1
Cartesian
-1.714 2.595 -0.427
0.000 0.000 0.000
-5.143 7.784 -1.282
-3.429 5.189 -0.855
```


Record order is preserved below.
ΔH_f (0 K): -32.8; -87.6; -41.0; -42.6; -41.6; -41.8; -80.6; -75.8 kJ/mol of atoms
Record order is preserved below.
Total energy: -36.196; -40.597; -69.759; -49.256; -46.171; -46.187; -21.169; -20.972 eV per cell